Entry 1:
The following is a DFT calculation (PBE) of a geometry-optimized Y3Re2B9 structure.

Structure (CIF):
```
data_Y3Re2B9
_chemical_formula_sum 'Y6 Re4 B18'
_space_group_name_H-M_alt 'I m m m'
_space_group_IT_number 71
_space_group_name_Hall '-I 2 2'
_cell_length_a 3.137
_cell_length_b 8.121
_cell_length_c 13.331
_cell_angle_alpha 90.00
_cell_angle_beta 90.00
_cell_angle_gamma 90.00
loop_
_atom_site_label
_atom_site_fract_x
_atom_site_fract_y
_atom_site_fract_z
Y1 0.000 0.000 0.000
Y2 0.000 0.000 0.268
Re1 0.000 0.176 0.500
B1 0.000 0.252 0.127
B2 0.000 0.323 0.363
B3 0.000 0.500 0.000
```

crystal system: orthorhombic
calculated formation energy: -22.9 kJ/mol of atoms

=====

Entry 2:
The following is a DFT calculation (PBE) of a geometry-optimized La3PmDy6Th2 structure.

Structure (CIF):
```
data_La3PmDy6Th2
_chemical_formula_sum 'La6 Pm2 Dy12 Th4'
_space_group_name_H-M_alt 'C 1 2/m 1'
_space_group_IT_number 12
_cell_length_a 6.267
_cell_length_b 10.853
_cell_length_c 11.834
_cell_angle_alpha 90.00
_cell_angle_beta 100.19
_cell_angle_gamma 90.00
loop_
_space_group_symop_operation_xyz
'x,y,z'
'-x,-y,-z'
'-x,y,-z'
'x,-y,z'
'x+1/2,y+1/2,z'
'-x+1/2,-y+1/2,-z'
'-x+1/2,y+1/2,-z'
'x+1/2,-y+1/2,z'
loop_
_atom_site_label
_atom_site_fract_x
_atom_site_fract_y
_atom_site_fract_z
La1 0.000 0.000 0.000
La2 0.000 0.334 0.000
Pm1 0.000 0.500 0.500
Dy1 0.243 0.000 0.744
Dy2 0.250 0.169 0.256
Th1 0.000 0.167 0.500
```

crystal system: monoclinic
calculated formation energy: 2.2 kJ/mol of atoms

=====

Entry 3:
The following is a DFT calculation (PBE) of a geometry-optimized CeZr4Pa structure.

Structure (CIF):
```
data_CeZr4Pa
_chemical_formula_sum 'Ce2 Zr8 Pa2'
_space_group_name_H-M_alt 'P 1 21/c 1'
_space_group_IT_number 14
_cell_length_a 5.868
_cell_length_b 3.144
_cell_length_c 16.036
_cell_angle_alpha 90.00
_cell_angle_beta 100.63
_cell_angle_gamma 90.00
loop_
_space_group_symop_operation_xyz
'x,y,z'
'-x,-y,-z'
'-x,y+1/2,-z+1/2'
'x,-y+1/2,z+1/2'
loop_
_atom_site_label
_atom_site_fract_x
_atom_site_fract_y
_atom_site_fract_z
Ce1 0.000 0.000 0.000
Zr1 0.157 0.004 0.329
Zr2 0.352 0.004 0.169
Pa1 0.500 0.000 0.500
```

crystal system: monoclinic
calculated formation energy: 8.7 kJ/mol of atoms